This record from the Alexandria database describes FeMoP2 after structural relaxation. The functional is GGA-PBE.

Calculated values
**DOS at the Fermi energy**: 0.507 states/eV per atom
**DFT formation energy**: -1.39 eV/f.u.
**SG**: No. 99
**VASP energy**: -7.877 eV per atom

Unit cell a=3.1561 b=3.1561 c=5.1717 alpha=90.00 beta=90.00 gamma=90.00
Last column: magnetic moment on the atom in μB.
Atoms (fractional coordinates):
Fe 0.0000 0.0000 0.4343  1.76
Mo 0.5000 0.5000 0.7918  0.20
P 0.0000 0.0000 0.9856  -0.03
P 0.5000 0.5000 0.2882  -0.02



This record from the Alexandria database describes KBeAg2 after structural relaxation. The functional is GGA-PBE.

Calculated values
**DOS at the Fermi energy**: 0.306 states/eV per atom
**DFT formation energy**: 2.76 eV/f.u.
**SG**: No. 47
**VASP energy**: -1.941 eV per atom

Unit cell a=2.9847 b=5.4134 c=5.1053 alpha=90.00 beta=90.00 gamma=90.00
Atoms (fractional coordinates):
Be 0.5000 0.0000 0.5000
K 0.0000 0.5000 0.5000
Ag 0.0000 0.0000 0.0000
Ag 0.5000 0.5000 0.0000



This record from the Alexandria database describes LuScCrOs after structural relaxation. The functional is GGA-PBE.

Calculated values
**DOS at the Fermi energy**: 0.787 states/eV per atom
**DFT formation energy**: -0.36 eV/f.u.
**SG**: No. 216
**VASP energy**: -8.015 eV per atom

Unit cell a=4.7062 b=4.7062 c=4.7062 alpha=60.00 beta=60.00 gamma=60.00
Last column: magnetic moment on the atom in μB.
Atoms (fractional coordinates):
Sc 0.0000 0.0000 0.0000  -0.02
Cr 0.2500 0.2500 0.2500  -3.15
Lu 0.5000 0.5000 0.5000  -0.07
Os 0.7500 0.7500 0.7500  0.01



This record from the Alexandria database describes CsHo2O4 after structural relaxation. The functional is GGA-PBE.

Calculated values
**Raw formation energy**: -2.63 eV per atom
**DOS at the Fermi energy**: 0.744 states/eV per atom
**SG**: No. 227
**VASP energy**: -6.898 eV per atom

Unit cell a=7.2249 b=7.2249 c=7.2249 alpha=120.00 beta=90.00 gamma=120.00
Last column: magnetic moment on the atom in μB.
Atoms (fractional coordinates):
Cs 0.0000 0.0000 0.0000  0.06
Cs 0.7500 0.5000 0.2500  0.06
Ho 0.8750 0.2498 0.6248  -0.03
Ho 0.3752 0.2502 0.6250  -0.03
Ho 0.3750 0.7502 0.6252  -0.03
Ho 0.3748 0.7498 0.1250  -0.03
O 0.2081 0.8056 0.4030  0.21
O 0.5970 0.8051 0.4026  0.21
O 0.1525 0.6944 0.8474  0.21
O 0.1526 0.3051 0.8470  0.21
O 0.5419 0.6949 0.8475  0.21
O 0.5975 0.1949 0.7919  0.21
O 0.5974 0.1944 0.4025  0.21
O 0.1530 0.3056 0.4581  0.21



This record from the Alexandria database describes Ac2NbSn after structural relaxation. The functional is GGA-PBE.

Calculated values
**DOS at the Fermi energy**: 1.312 states/eV per atom
**DFT formation energy**: 2.49 eV/f.u.
**SG**: No. 166
**VASP energy**: -4.950 eV per atom

Unit cell a=3.4987 b=3.4987 c=12.1603 alpha=81.73 beta=81.73 gamma=60.00
Last column: magnetic moment on the atom in μB.
Atoms (fractional coordinates):
Ac 0.0866 0.0866 0.7402  0.03
Ac 0.9134 0.9134 0.2598  0.03
Sn 0.5000 0.5000 0.5000  0.00
Nb 0.0000 0.0000 0.0000  0.78



This record from the Alexandria database describes HfTi2ReN after structural relaxation. The functional is GGA-PBE.

Calculated values
**Raw formation energy**: -0.75 eV per atom
**DOS at the Fermi energy**: 0.856 states/eV per atom
**SG**: No. 123
**VASP energy**: -10.056 eV per atom

Unit cell a=4.0667 b=4.0667 c=4.4849 alpha=90.00 beta=90.00 gamma=90.00
Atoms (fractional coordinates):
Re 0.5000 0.5000 0.5000
N 0.0000 0.0000 0.0000
Hf 0.0000 0.0000 0.5000
Ti 0.0000 0.5000 0.0000
Ti 0.5000 0.0000 0.0000



This record from the Alexandria database describes NaMn3Sn after structural relaxation. The functional is GGA-PBE.

Calculated values
**DOS at the Fermi energy**: 1.284 states/eV per atom
**DFT formation energy**: 6.70 eV/f.u.
**SG**: No. 221
**VASP energy**: -5.226 eV per atom

Unit cell a=5.9529 b=5.9529 c=5.9529 alpha=90.00 beta=90.00 gamma=90.00
Last column: magnetic moment on the atom in μB.
Atoms (fractional coordinates):
Na 0.5000 0.5000 0.5000  -0.03
Mn 0.0000 0.5000 0.0000  4.20
Mn 0.0000 0.0000 0.5000  4.40
Mn 0.5000 0.0000 0.0000  4.08
Sn 0.0000 0.0000 0.0000  -0.15



This record from the Alexandria database describes Ba2CaNb after structural relaxation. The functional is GGA-PBE.

Calculated values
**DOS at the Fermi energy**: 0.460 states/eV per atom
**DFT formation energy**: 3.60 eV/f.u.
**SG**: No. 122
**VASP energy**: -3.080 eV per atom

Unit cell a=9.7048 b=9.7048 c=7.7304 alpha=51.12 beta=51.12 gamma=90.00
Last column: magnetic moment on the atom in μB.
Atoms (fractional coordinates):
Nb 0.0000 0.0000 0.0000  2.46
Nb 0.7500 0.2500 0.5000  2.46
Ca 0.5000 0.5000 0.0000  -0.01
Ca 0.2500 0.7500 0.5000  -0.01
Ba 0.6623 0.1250 0.2500  0.03
Ba 0.0877 0.6250 0.2500  0.03
Ba 0.3750 0.3377 0.7500  0.03
Ba 0.8750 0.9123 0.7500  0.03



This record from the Alexandria database describes Ag2HgCl after structural relaxation. The functional is GGA-PBE.

Calculated values
**Raw formation energy**: -0.03 eV per atom
**DOS at the Fermi energy**: 0.168 states/eV per atom
**SG**: No. 6
**VASP energy**: -1.991 eV per atom

Unit cell a=5.9628 b=3.3715 c=4.4402 alpha=89.99 beta=90.00 gamma=90.00
Atoms (fractional coordinates):
Hg 0.5000 0.8716 0.6286
Ag 0.0000 0.8796 0.1217
Ag 0.5000 0.3711 0.1283
Cl 0.0000 0.3777 0.6214



This record from the Alexandria database describes Ac4LaP5 after structural relaxation. The functional is GGA-PBE.

Calculated values
**DOS at the Fermi energy**: 0.095 states/eV per atom
**DFT formation energy**: -14.83 eV/f.u.
**SG**: No. 87
**VASP energy**: -6.324 eV per atom

Unit cell a=6.2491 b=7.6497 c=7.6497 alpha=80.40 beta=65.89 gamma=65.89
Atoms (fractional coordinates):
Ac 0.4018 0.3985 0.8000
Ac 0.8003 0.8000 0.6015
Ac 0.2018 0.2000 0.3985
Ac 0.6004 0.6015 0.2000
La 0.0010 0.0000 0.0000
P 0.9033 0.3923 0.8031
P 0.2956 0.8031 0.6077
P 0.7064 0.1969 0.3923
P 0.0987 0.6077 0.1969
P 0.5009 0.0000 0.0000



This record from the Alexandria database describes ScFeSi2 after structural relaxation. The functional is GGA-PBE.

Calculated values
**Raw formation energy**: -0.23 eV per atom
**DOS at the Fermi energy**: 0.596 states/eV per atom
**SG**: No. 71
**VASP energy**: -6.639 eV per atom

Unit cell a=5.0413 b=5.0413 c=5.0413 alpha=146.25 beta=121.60 gamma=69.17
Last column: magnetic moment on the atom in μB.
Atoms (fractional coordinates):
Fe 0.7500 0.2500 0.5000  1.19
Sc 0.2500 0.7500 0.5000  -0.10
Si 0.9696 0.9696 0.0000  0.00
Si 0.5304 0.5304 0.0000  0.00



This record from the Alexandria database describes CaTb6Pm5 after structural relaxation. The functional is GGA-PBE.

Calculated values
**DOS at the Fermi energy**: 1.448 states/eV per atom
**DFT formation energy**: 0.47 eV/f.u.
**SG**: No. 12
**VASP energy**: -4.422 eV per atom

Unit cell a=6.2705 b=8.0928 c=8.0928 alpha=84.33 beta=97.40 gamma=97.40
Atoms (fractional coordinates):
Ca 0.0000 0.0000 0.0000
Tb 0.7466 0.9154 0.5767
Tb 0.2534 0.4233 0.0846
Tb 0.2561 0.7479 0.7479
Tb 0.7439 0.2521 0.2521
Tb 0.7466 0.5767 0.9154
Tb 0.2534 0.0846 0.4233
Pm 0.5000 0.8298 0.1702
Pm 0.0000 0.6623 0.3377
Pm 0.5000 0.5000 0.5000
Pm 0.0000 0.3377 0.6623
Pm 0.5000 0.1702 0.8298